Pm3HoMg: relaxed, GGA-PBE.

Properties
Distance to the lowest polymorph of the same formula ... 58 meV/atom
ΔE_f ... 121 meV per atom

a b c (Å): 3.8215 10.6084 8.1849
angles (deg): 90.00 90.00 90.00
Space group Pmmn (No. 59, origin choice 2)
Symmetry-distinct sites (fractional):
Pm (0.2500, 0.0028, 0.2340) (multiplicity 4)
Pm (0.2500, 0.7500, 0.5563) (multiplicity 2)
Ho (0.2500, 0.7500, 0.9443) (multiplicity 2)
Mg (0.2500, 0.2500, 0.7553) (multiplicity 2)